This record from the Alexandria database describes a relaxed Sc2PbCl crystal. The functional is PBE-GGA.

a = 7.2602 Å, b = 7.2602 Å, c = 7.2602 Å
α = 152.84°, β = 147.82°, γ = 42.60°
Positions (direct):
Cl: 0.5435 0.5435 0.0000
Pb: 0.3016 0.8016 0.5000
Sc: 0.9608 0.9608 0.0000
Sc: 0.6941 0.1941 0.5000

Calculated values
The energy comes out at -5.19 eV per atom. Its density of states at the Fermi level is 2.500 states/eV/f.u. The calculation puts the uncorrected formation energy at -0.631 eV/atom.